Record 1
## CdCuBr2 (PBE)

Data for CdCuBr2 after structural relaxation.

```
CdCuBr2
1.0
1.879 -3.701 0.000
1.879 3.701 0.000
0.000 0.000 8.136
Cd Cu Br
1 1 2
direct
0.000 0.000 0.000
0.000 0.000 0.500
0.500 0.500 0.294
0.500 0.500 0.706
```

## Properties
Distance to the lowest polymorph of the same formula in eV/atom: 0.127
Energy relative to the elements, uncorrected in kJ/mol of atoms: -16
M_tot in Bohr magnetons per cell: 0.0



Record 2
## PuNiH4 (PBE)

Data for PuNiH4 after structural relaxation.

```
PuNiH4
1.0
3.122 0.000 0.000
0.000 3.122 0.000
0.000 0.000 5.034
Pu Ni H
1 1 4
direct
0.000 0.000 0.000
0.500 0.500 0.500
0.000 0.500 0.322
0.000 0.500 0.678
0.500 0.000 0.322
0.500 0.000 0.678
```

## Properties
VASP energy in eV/atom: -5.65
M_tot in Bohr magnetons per cell: 5.7



Record 3
## SbAsBr2 (PBE)

Data for SbAsBr2 after structural relaxation.

```
SbAsBr2
1.0
-4.109 4.109 3.228
4.109 -4.109 3.228
4.109 4.109 -3.228
Sb As Br
2 2 4
direct
0.000 0.000 0.000
0.750 0.250 0.500
0.250 0.750 0.500
0.500 0.500 0.000
0.143 0.125 0.518
0.375 0.857 0.982
0.607 0.625 0.482
0.875 0.393 0.018
```

## Properties
Distance to the lowest polymorph of the same formula in eV/atom: 0.619
Energy relative to the elements, uncorrected in kJ/mol of atoms: 34
M_tot in Bohr magnetons per cell: 0.0